(1)
Here is crystalline NdTc4B2 at its relaxed geometry from Alexandria via LeMat-Bulk. Energies are from GGA-PBE.

ΔE_f ... -126 meV/atom
Uncorrected energy ... -60.47 eV per cell

Cell: 4.0263 4.0601 7.0126 Å, 106.83 90.00 90.00°
Element x y z (fractional)
Tc: 0.5000 0.8194 0.6388
Tc: 0.5000 0.1806 0.3612
Tc: 0.0000 0.3077 0.6154
B: 0.5000 0.6235 0.2471
Nd: 0.0000 0.0000 0.0000
B: 0.5000 0.3765 0.7529
Tc: 0.0000 0.6923 0.3846


(2)
Here is crystalline Ce3DyTh2P6 at its relaxed geometry from Alexandria via LeMat-Bulk. Energies are from GGA-PBE.

ΔE_f ... -1546 meV/atom
Uncorrected energy ... -88.26 eV per cell

Cell: 7.0983 7.0983 7.1031 Å, 99.59 99.59 119.99°
Site moments in Bohr magnetons follow the coordinates.
Element x y z (fractional)
P: 0.9167 0.5872 0.7499  -0.01
P: 0.7543 0.7543 0.2511  -0.01
Ce: 0.1671 0.8329 0.5000  0.43
P: 0.4128 0.0833 0.2501  -0.01
Th: 0.3335 0.6665 0.0000  0.02
Dy: 0.0000 0.0000 0.0000  0.01
P: 0.2457 0.2457 0.7489  -0.01
Th: 0.6665 0.3335 0.0000  0.02
P: 0.5872 0.9167 0.7499  -0.01
Ce: 0.8329 0.1671 0.5000  0.43
Ce: 0.5000 0.5000 0.5000  0.43
P: 0.0833 0.4128 0.2501  -0.01


no.,total magnetization (μB/f.u.)
1,0.0
2,1.5